The following is a DFT calculation (PBE) of FeMoPb3 after structural relaxation.

abc: 5.3897 5.3897 5.3897
angles: 90.00 90.00 90.00
Last column: nearest neighbours and their distance in Å.
Fractional coordinates of all 5 atoms:
Pb 0.0000 0.5000 0.0000  2 Mo 2.69
Fe 0.5000 0.5000 0.5000  12 Pb 3.81
Pb 0.0000 0.0000 0.5000  2 Mo 2.69
Pb 0.5000 0.0000 0.0000  2 Mo 2.69
Mo 0.0000 0.0000 0.0000  6 Pb 2.69

Results
Energy relative to the lowest polymorph listed for this composition (eV/atom): 0.0080

The following is a DFT calculation (PBE) of ScMn2Cr after structural relaxation.

abc: 5.0827 5.0827 5.0827
angles: 136.62 136.62 63.02
Last column: nearest neighbours and their distance in Å.
Fractional coordinates of all 4 atoms:
Sc 0.5000 0.5000 0.0000  8 Mn 2.66-2.87, 4 Cr 2.87
Mn 0.2500 0.7500 0.5000  4 Cr 2.66, 4 Sc 2.87, 4 Mn 2.87
Mn 0.0000 0.0000 0.0000  4 Sc 2.66, 4 Mn 2.87, 4 Cr 2.87
Cr 0.7500 0.2500 0.5000  8 Mn 2.66-2.87, 4 Sc 2.87

Results
Energy relative to the lowest polymorph listed for this composition (eV/atom): 0.2085

The following is a DFT calculation (PBE) of CaFe2Tc after structural relaxation.

abc: 4.1233 2.8580 5.9132
angles: 76.41 90.00 90.00
Last column: nearest neighbours and their distance in Å.
Fractional coordinates of all 4 atoms:
Tc 0.0000 0.4910 0.3968  6 Fe 2.44-2.61
Fe 0.5000 0.0560 0.2770  2 Fe 2.43, 4 Tc 2.59-2.61
Fe 0.0000 0.1584 0.0522  2 Fe 2.43, 2 Tc 2.44
Ca 0.5000 0.7946 0.7740  5 Fe 2.86-2.98, 2 Ca 2.86

Results
Energy relative to the lowest polymorph listed for this composition (eV/atom): 0.1461

Q: Which value of energy relative to the lowest polymorph listed for this composition does entry 1 give?
A: 0.0080 eV/atom